#1
An optimized crystal structure of MgInBr. Source: Alexandria via LeMat-Bulk, functional PBE.

Geometry as POSCAR:
```
MgInBr
1.0
-2.977 -3.518 -2.158
3.615 -1.400 3.297
-2.392 0.330 2.763
Br In Mg
1 1 1
direct
0.000 0.000 0.834 Br
0.333 0.667 0.333 In
0.667 0.333 0.833 Mg
```

#2
An optimized crystal structure of MgInBr. Source: Alexandria via LeMat-Bulk, functional PBE.

Geometry as POSCAR:
```
MgInBr
1.0
-7.883 0.932 -2.326
-6.199 -3.006 -4.578
6.330 -0.333 5.315
Br In Mg
1 1 1
direct
0.056 0.056 0.000 Br
0.294 0.294 0.000 In
0.651 0.651 0.000 Mg
```

#3
An optimized crystal structure of MgInBr. Source: Alexandria via LeMat-Bulk, functional PBE.

Geometry as POSCAR:
```
MgInBr
1.0
5.213 0.000 0.000
2.606 4.515 0.000
2.606 1.505 4.256
Br In Mg
1 1 1
direct
0.000 0.000 0.000 Br
0.500 0.500 0.500 In
0.250 0.250 0.250 Mg
```

Last place for stability: #3

#1
An optimized crystal structure of MgInBr. Source: Alexandria via LeMat-Bulk, functional PBE.

Geometry as POSCAR:
```
MgInBr
1.0
8.637 0.067 -0.049
7.626 3.437 -0.064
1.011 -1.058 3.199
Br In Mg
1 1 1
direct
0.046 0.046 0.954 Br
0.305 0.305 0.695 In
0.649 0.649 0.351 Mg
```

#2
An optimized crystal structure of MgInBr. Source: Alexandria via LeMat-Bulk, functional PBE.

Geometry as POSCAR:
```
MgInBr
1.0
3.582 0.000 0.000
-1.791 3.102 0.000
0.000 0.000 8.367
Br In Mg
1 1 1
direct
0.000 0.000 0.899 Br
0.667 0.333 0.399 In
0.333 0.667 0.702 Mg
```

#3
An optimized crystal structure of MgInBr. Source: Alexandria via LeMat-Bulk, functional PBE.

Geometry as POSCAR:
```
MgInBr
1.0
-0.710 0.675 3.472
-2.657 -0.029 -2.412
-2.220 -15.893 2.637
Mg In Br
2 2 2
direct
0.562 0.123 0.000 Mg
0.326 0.652 0.500 Mg
0.662 0.325 0.352 In
0.662 0.325 0.648 In
0.227 0.454 0.895 Br
0.227 0.454 0.105 Br
```

Last place for stability: #1

#1
An optimized crystal structure of Mn2InBr. Source: Alexandria via LeMat-Bulk, functional PBE.

Geometry as POSCAR:
```
Mn2InBr
1.0
3.235 0.000 0.000
0.000 3.900 -0.002
0.000 0.013 6.865
Br In Mn
1 1 2
direct
0.500 0.250 0.250 Br
0.500 0.750 0.750 In
0.000 0.249 0.940 Mn
0.000 0.251 0.560 Mn
```

#2
An optimized crystal structure of Mn2InBr. Source: Alexandria via LeMat-Bulk, functional PBE.

Geometry as POSCAR:
```
Mn2InBr
1.0
-1.592 1.909 -6.376
-6.463 -2.011 1.011
-4.716 2.655 -1.700
Mn Br In
4 2 2
direct
0.559 0.125 0.250 Mn
0.191 0.625 0.250 Mn
0.375 0.441 0.750 Mn
0.875 0.809 0.750 Mn
0.500 0.500 0.000 Br
0.250 0.750 0.500 Br
0.000 0.000 0.000 In
0.750 0.250 0.500 In
```

#3
An optimized crystal structure of Mn2InBr. Source: Alexandria via LeMat-Bulk, functional PBE.

Geometry as POSCAR:
```
Mn2InBr
1.0
-2.574 5.771 2.127
-4.842 1.334 4.386
5.822 -2.763 -1.710
Br In Mn
1 1 2
direct
0.546 0.546 0.000 Br
0.277 0.777 0.500 In
0.932 0.932 0.000 Mn
0.744 0.244 0.500 Mn
```

#4
An optimized crystal structure of Mn2InBr. Source: Alexandria via LeMat-Bulk, functional PBE.

Geometry as POSCAR:
```
Mn2InBr
1.0
-1.202 2.646 3.717
-1.584 -2.462 1.241
3.682 -2.821 3.199
Br In Mn
1 1 2
direct
0.000 0.354 0.417 Br
0.500 0.671 0.782 In
0.000 0.054 0.017 Mn
0.500 0.421 0.285 Mn
```

Last place for stability: #2

#1
An optimized crystal structure of Mn2InBr. Source: Alexandria via LeMat-Bulk, functional PBE.

Geometry as POSCAR:
```
Mn2InBr
1.0
8.985 -0.010 -0.006
8.378 3.246 -0.006
8.378 1.561 2.846
Br In Mn
1 1 2
direct
0.516 0.516 0.516 Br
0.740 0.740 0.740 In
0.993 0.993 0.993 Mn
0.251 0.251 0.251 Mn
```

#2
An optimized crystal structure of Mn2InBr. Source: Alexandria via LeMat-Bulk, functional PBE.

Geometry as POSCAR:
```
Mn2InBr
1.0
2.191 1.576 4.019
-1.483 4.092 2.120
-2.316 -0.176 4.248
Mn Br In
2 1 1
direct
0.250 0.250 0.250 Mn
0.750 0.750 0.750 Mn
0.000 0.000 0.000 Br
0.500 0.500 0.500 In
```

#3
An optimized crystal structure of Mn2InBr. Source: Alexandria via LeMat-Bulk, functional PBE.

Geometry as POSCAR:
```
Mn2InBr
1.0
3.453 0.000 0.000
0.000 7.154 -0.264
0.000 4.703 3.352
Br In Mn
1 1 2
direct
0.500 0.500 0.500 Br
0.000 0.000 0.500 In
0.000 0.000 0.000 Mn
0.500 0.500 0.000 Mn
```

Last place for stability: #2

#1
An optimized crystal structure of Mn2InBr. Source: Alexandria via LeMat-Bulk, functional PBE.

Geometry as POSCAR:
```
Mn2InBr
1.0
-0.793 5.536 2.406
-5.271 3.028 0.344
2.536 -5.426 1.094
Br In Mn
1 1 2
direct
0.500 0.500 0.000 Br
0.750 0.250 0.500 In
0.000 0.000 0.000 Mn
0.250 0.750 0.500 Mn
```

#2
An optimized crystal structure of Mn2InBr. Source: Alexandria via LeMat-Bulk, functional PBE.

Geometry as POSCAR:
```
Mn2InBr
1.0
-0.322 -0.121 3.294
2.816 -1.729 0.212
4.175 6.879 0.661
Br In Mn
1 1 2
direct
0.000 0.000 0.398 Br
0.500 0.500 0.845 In
0.000 0.000 0.035 Mn
0.500 0.500 0.222 Mn
```

Last place for stability: #1

#1
An optimized crystal structure of Mn2InBr. Source: Alexandria via LeMat-Bulk, functional PBE.

Geometry as POSCAR:
```
Mn2InBr
1.0
6.752 -0.007 -0.054
5.997 3.101 -0.054
0.030 0.007 4.564
Br In Mn
1 1 2
direct
0.562 0.562 0.249 Br
0.785 0.785 0.750 In
0.909 0.909 0.251 Mn
0.244 0.244 0.250 Mn
```

#2
An optimized crystal structure of Mn2InBr. Source: Alexandria via LeMat-Bulk, functional PBE.

Geometry as POSCAR:
```
Mn2InBr
1.0
-1.028 -0.098 3.152
2.234 -2.249 -0.978
6.325 5.314 2.228
Br In Mn
1 1 2
direct
0.500 0.500 0.250 Br
0.500 0.500 0.750 In
0.000 0.000 0.005 Mn
0.000 0.000 0.495 Mn
```

Last place for stability: #2

#1
An optimized crystal structure of Mn2InBr. Source: Alexandria via LeMat-Bulk, functional PBE.

Geometry as POSCAR:
```
Mn2InBr
1.0
3.195 0.000 0.000
0.000 5.609 0.000
0.000 0.000 4.607
Br In Mn
1 1 2
direct
0.500 0.000 0.500 Br
0.000 0.500 0.500 In
0.000 0.000 0.000 Mn
0.500 0.500 0.000 Mn
```

#2
An optimized crystal structure of Mn2InBr. Source: Alexandria via LeMat-Bulk, functional PBE.

Geometry as POSCAR:
```
Mn2InBr
1.0
-4.251 2.641 0.672
-4.344 -2.401 0.927
-2.106 0.271 4.581
Br In Mn
1 1 2
direct
0.500 0.500 0.500 Br
0.750 0.750 0.750 In
0.000 0.000 0.000 Mn
0.250 0.250 0.250 Mn
```

Last place for stability: #2

#1
An optimized crystal structure of MnIn2Br6. Source: Alexandria via LeMat-Bulk, functional PBE.

Geometry as POSCAR:
```
MnIn2Br6
1.0
6.614 0.000 3.223
2.522 6.115 3.223
0.371 0.248 7.637
Mn In Br
1 2 6
direct
0.675 0.675 0.974 Mn
0.180 0.180 0.460 In
0.491 0.491 0.528 In
0.634 0.282 0.243 Br
0.282 0.841 0.243 Br
0.841 0.634 0.243 Br
0.437 0.706 0.768 Br
0.706 0.089 0.768 Br
0.089 0.437 0.768 Br
```

#2
An optimized crystal structure of MnIn2Br6. Source: Alexandria via LeMat-Bulk, functional PBE.

Geometry as POSCAR:
```
MnIn2Br6
1.0
-2.253 -5.717 -2.568
6.419 -5.507 3.655
-6.749 -1.420 6.110
Mn In Br
2 4 12
direct
0.250 0.073 0.927 Mn
0.750 0.927 0.073 Mn
0.506 0.567 0.770 In
0.994 0.230 0.433 In
0.494 0.433 0.230 In
0.006 0.770 0.567 In
0.440 0.696 0.498 Br
0.060 0.502 0.304 Br
0.560 0.304 0.502 Br
0.940 0.498 0.696 Br
0.869 0.924 0.333 Br
0.631 0.667 0.076 Br
0.131 0.076 0.667 Br
0.369 0.333 0.924 Br
0.123 0.813 0.927 Br
0.377 0.073 0.187 Br
0.877 0.187 0.073 Br
0.623 0.927 0.813 Br
```

Last place for stability: #2

#1
An optimized crystal structure of MnInBr6. Source: Alexandria via LeMat-Bulk, functional PBE.

Geometry as POSCAR:
```
MnInBr6
1.0
-1.296 5.616 5.253
-2.108 0.129 -6.445
-3.590 -5.661 2.272
Mn In Br
1 1 6
direct
0.000 0.000 0.000 Mn
0.500 0.000 0.000 In
0.926 0.145 0.284 Br
0.643 0.861 0.716 Br
0.357 0.139 0.284 Br
0.074 0.855 0.716 Br
0.269 0.534 0.000 Br
0.731 0.466 0.000 Br
```

#2
An optimized crystal structure of MnInBr6. Source: Alexandria via LeMat-Bulk, functional PBE.

Geometry as POSCAR:
```
MnInBr6
1.0
6.643 0.220 0.181
3.497 6.015 0.176
3.530 2.149 6.161
Mn In Br
1 1 6
direct
0.500 0.500 0.500 Mn
0.000 0.000 0.000 In
0.102 0.429 0.736 Br
0.728 0.119 0.734 Br
0.598 0.245 0.245 Br
0.272 0.881 0.266 Br
0.898 0.571 0.264 Br
0.402 0.755 0.755 Br
```

Last place for stability: #2

#1
An optimized crystal structure of MnIn2Br4. Source: Alexandria via LeMat-Bulk, functional PBE.

Geometry as POSCAR:
```
MnIn2Br4
1.0
-4.663 1.741 1.930
-2.576 -2.574 -3.903
-4.143 -7.050 3.733
Mn Br In
1 4 2
direct
0.000 0.000 0.000 Mn
0.837 0.837 0.326 Br
0.163 0.163 0.674 Br
0.000 0.500 0.000 Br
0.500 0.000 0.000 Br
0.641 0.641 0.718 In
0.359 0.359 0.282 In
```

#2
An optimized crystal structure of MnIn2Br4. Source: Alexandria via LeMat-Bulk, functional PBE.

Geometry as POSCAR:
```
MnIn2Br4
1.0
-3.437 1.913 -7.166
3.626 -7.326 -0.001
-7.750 -1.057 6.276
Mn In Br
2 4 8
direct
0.876 0.124 0.250 Mn
0.124 0.876 0.750 Mn
0.431 0.569 0.750 In
0.818 0.182 0.750 In
0.569 0.431 0.250 In
0.182 0.818 0.250 In
0.224 0.241 0.399 Br
0.842 0.321 0.100 Br
0.679 0.158 0.400 Br
0.759 0.776 0.101 Br
0.241 0.224 0.899 Br
0.321 0.842 0.600 Br
0.158 0.679 0.900 Br
0.776 0.759 0.601 Br
```

Last place for stability: #1

#1
An optimized crystal structure of MnIn3Br. Source: Alexandria via LeMat-Bulk, functional PBE.

Geometry as POSCAR:
```
MnIn3Br
1.0
5.834 0.000 0.000
0.000 5.834 0.000
0.000 0.000 5.834
Mn Br In
1 1 3
direct
0.500 0.500 0.500 Mn
0.000 0.000 0.000 Br
0.000 0.500 0.000 In
0.000 0.000 0.500 In
0.500 0.000 0.000 In
```

#2
An optimized crystal structure of MnIn3Br. Source: Alexandria via LeMat-Bulk, functional PBE.

Geometry as POSCAR:
```
MnIn3Br
1.0
-1.126 -2.787 4.286
4.629 1.308 2.066
-2.171 4.234 2.183
Mn Br In
1 1 3
direct
0.000 0.000 0.000 Mn
0.500 0.500 0.500 Br
0.000 0.500 0.000 In
0.000 0.000 0.500 In
0.500 0.000 0.000 In
```

Last place for stability: #1